Entry 1:
Density functional theory data (PBE) for a relaxed structure of ScMoP2.

Geometry as CIF:
```
data_ScMoP2
_chemical_formula_sum 'Sc4 Mo4 P8'
_space_group_name_H-M_alt 'I -4 2 d'
_space_group_IT_number 122
_space_group_name_Hall 'I -4 2bw'
_cell_length_a 5.572
_cell_length_b 5.572
_cell_length_c 11.604
_cell_angle_alpha 90.00
_cell_angle_beta 90.00
_cell_angle_gamma 90.00
loop_
_atom_site_label
_atom_site_fract_x
_atom_site_fract_y
_atom_site_fract_z
Sc1 0.000 0.000 0.000
Mo1 0.000 0.000 0.500
P1 0.212 0.250 0.625
```

Summary:
DOS at the Fermi energy ... 14.9 states/eV/cell
Total DFT energy (no corrections) ... -7.2989 eV per atom
Energy above the lowest structure with this stoichiometry ... 0.572 eV/atom
Energy of formation from the pure elements ... -303 meV/atom

Entry 2:
Density functional theory data (PBE) for a relaxed structure of Nd3Ga3Au8.

Geometry as CIF:
```
data_Nd3Ga3Au8
_chemical_formula_sum 'Nd6 Ga6 Au16'
_space_group_name_H-M_alt 'C 1 2/m 1'
_space_group_IT_number 12
_space_group_name_Hall '-C 2y'
_cell_length_a 16.310
_cell_length_b 4.686
_cell_length_c 9.090
_cell_angle_alpha 90.00
_cell_angle_beta 122.26
_cell_angle_gamma 90.00
loop_
_atom_site_label
_atom_site_fract_x
_atom_site_fract_y
_atom_site_fract_z
Nd1 0.000 0.000 0.000
Nd2 0.206 0.500 0.719
Ga1 0.000 0.000 0.500
Ga2 0.166 0.500 0.321
Au1 0.006 0.500 0.333
Au2 0.131 0.000 0.841
Au3 0.142 0.000 0.427
Au4 0.150 0.500 0.030
```

Summary:
DOS at the Fermi energy ... 14.2 states/eV/cell
Total DFT energy (no corrections) ... -4.1862 eV per atom
Energy above the lowest structure with this stoichiometry ... 0.000 eV/atom
Energy of formation from the pure elements ... -643 meV/atom

Entry 3:
Density functional theory data (PBE) for a relaxed structure of VPdS2.

Geometry as CIF:
```
data_VPdS2
_chemical_formula_sum 'V3 Pd3 S6'
_space_group_name_H-M_alt 'R -3 m'
_space_group_IT_number 166
_space_group_name_Hall '-R 3 2"'
_cell_length_a 3.4834
_cell_length_b 3.4834
_cell_length_c 21.9195
_cell_angle_alpha 90.00
_cell_angle_beta 90.00
_cell_angle_gamma 120.00
loop_
_atom_site_label
_atom_site_fract_x
_atom_site_fract_y
_atom_site_fract_z
V1 0.0000 0.0000 0.0000
Pd1 0.0000 0.0000 0.5000
S1 0.0000 0.0000 0.1036
```

Summary:
DOS at the Fermi energy ... 8.7 states/eV/cell
Total DFT energy (no corrections) ... -5.5547 eV per atom